Record 1
DFT (SCAN) results for a crystal of BaNaSr3 relaxed with PBEsol.

Output
- DFT formation energy: 633.0 meV/atom

a b c (Å): 6.801 6.801 6.801
angles (deg): 90.00 90.00 90.00
Site moments in Bohr magnetons follow the coordinates.
Fractional positions:
Sr (0.000, 0.500, 0.000)  0.17
Sr (0.000, 0.000, 0.500)  0.17
Sr (0.500, 0.000, 0.000)  0.17
Ba (0.000, 0.000, 0.000)  0.65
Na (0.500, 0.500, 0.500)  -0.01

Record 2
DFT (SCAN) results for a crystal of CaIrW2 relaxed with PBEsol.

Output
- DFT formation energy: 460.1 meV/atom
- Relative energy among the computed polymorphs: 23 meV per atom

a b c (Å): 4.533 4.533 4.533
angles (deg): 60.00 60.00 60.00
Fractional positions:
Ca (0.500, 0.500, 0.500)
Ir (0.750, 0.750, 0.750)
W (0.000, 0.000, 0.000)
W (0.250, 0.250, 0.250)

Number 1: calculated total energy -21.4852 eV per atom, magnetization 3.64 μB per cell. Number 2: calculated total energy -54.5745 eV per atom, magnetization 0.00 μB per cell.